NaCaHfNbO6 | PBE-GGA | optimized geometry

**Magnetic moment**: 0.000 μB/atom
**DFT total energy**: -0.5984 Ry/atom
**Formation energy without anion corrections**: -2.8330 eV per atom
**Calculated density**: 5.3 g/cm3

The structure in POSCAR format:
```
NaCaHfNbO6
1.0
0.000 4.058 4.058
4.058 0.000 4.058
4.058 4.058 0.000
Na Ca Hf Nb O
1 1 1 1 6
direct
0.000 0.000 0.000
0.500 0.500 0.500
0.250 0.250 0.250
0.750 0.750 0.750
0.504 0.504 0.996
0.504 0.996 0.504
0.504 0.996 0.996
0.996 0.504 0.504
0.996 0.504 0.996
0.996 0.996 0.504
```

PmNdY2Se4 | PBE-GGA | optimized geometry

**Magnetic moment**: 0.000 μB/atom
**DFT total energy**: -0.4668 Ry/atom
**Formation energy without anion corrections**: -1.8032 eV per atom
**Calculated density**: 6.4 g/cm3

The structure in POSCAR format:
```
PmNdY2Se4
1.0
7.145 0.000 0.000
0.000 4.091 0.000
-2.350 0.000 6.917
Pm Nd Y Se
1 1 2 4
direct
0.000 0.000 0.000
0.500 0.500 0.000
0.000 0.500 0.500
0.500 0.000 0.500
0.244 0.000 0.738
0.253 0.500 0.262
0.747 0.500 0.738
0.756 0.000 0.262
```

Li2HgPt2 | PBE-GGA | optimized geometry

**Magnetic moment**: 0.000 μB/atom
**DFT total energy**: -0.2420 Ry/atom
**ΔE_f**: -0.05 eV per atom
**Calculated density**: 12.1 g/cm3
**Distance to the lowest polymorph of the same formula**: 0.2967 eV per atom

The structure in POSCAR format:
```
Li2HgPt2
1.0
-1.773 1.773 6.617
1.773 -1.773 6.617
1.773 1.773 -6.617
Li Hg Pt
2 1 2
direct
0.250 0.750 0.500
0.750 0.250 0.500
0.000 0.000 0.000
0.394 0.394 0.000
0.606 0.606 0.000
```

MgZn2PO6 | PBE-GGA | optimized geometry

**Magnetic moment**: 0.100 μB/atom
**DFT total energy**: -0.4158 Ry/atom
**Formation energy without anion corrections**: -1.7271 eV per atom
**Calculated density**: 3.7 g/cm3

The structure in POSCAR format:
```
MgZn2PO6
1.0
4.749 -5.470 0.000
4.749 5.470 0.000
-2.347 0.000 4.848
Mg Zn P O
2 4 2 12
direct
0.100 0.900 0.750
0.900 0.100 0.250
0.289 0.467 0.871
0.467 0.289 0.371
0.533 0.711 0.629
0.711 0.533 0.129
0.160 0.840 0.250
0.840 0.160 0.750
0.040 0.186 0.689
0.143 0.684 0.974
0.186 0.040 0.189
0.305 0.455 0.514
0.316 0.857 0.526
0.455 0.305 0.014
0.545 0.695 0.986
0.684 0.143 0.474
0.695 0.545 0.486
0.814 0.960 0.811
0.857 0.316 0.026
0.960 0.814 0.311
```